Density functional theory data (PBE) for a geometry-optimized Dy4NiPt3 structure.

Cell and atoms, written as POSCAR:
```
Dy4NiPt3
1.0
-2.492 -1.206 4.817
3.925 0.142 2.066
-0.878 6.927 1.192
Pt Dy Ni
3 4 1
Direct
0.846 0.500 0.047
0.635 0.500 0.538
0.157 0.000 0.953
0.639 0.000 0.818
0.137 0.500 0.679
0.865 0.000 0.321
0.362 0.500 0.182
0.361 0.000 0.461
```

## Properties
Its space group is Pm (6). The formation energy is -1083 meV/atom.